(1)
A plane-wave DFT calculation with PBE was carried out for a geometry-optimized SrBe2In structure.

abc: 3.497 3.497 6.920
angles: 90.00 90.00 90.00
Space group P4/mmm (No. 123)
Asymmetric unit:
Sr1 0.000 0.000 0.000
Be1 0.500 0.500 0.326
In1 0.000 0.000 0.500

Output
The calculation puts the formation enthalpy at 0 K at 0.47 eV per atom.

---

(2)
A plane-wave DFT calculation with PBE was carried out for a geometry-optimized Sm2Ga8Pd structure.

abc: 4.370 4.370 11.298
angles: 90.00 90.00 90.00
Space group P4/mmm (No. 123)
Asymmetric unit:
Sm1 0.000 0.000 0.191
Ga1 0.000 0.500 0.000
Ga2 0.000 0.500 0.377
Ga3 0.500 0.500 0.192
Pd1 0.000 0.000 0.500

Output
The calculation puts the formation enthalpy at 0 K at -0.52 eV per atom.

---

(3)
A plane-wave DFT calculation with PBE was carried out for a geometry-optimized Ac4GaIrI2 structure.

abc: 7.955 4.519 8.873
angles: 90.00 107.08 90.00
Space group P2/m (No. 10)
Asymmetric unit:
Ac1 0.220 0.000 0.188
Ac2 0.243 0.500 0.810
Ga1 0.500 0.000 0.000
Ir1 0.000 0.500 0.000
I1 0.000 0.000 0.500
I2 0.500 0.500 0.500

Output
For the energy relative to the elements, uncorrected, the calculation gives -0.891 eV per atom.

---

(4)
A plane-wave DFT calculation with PBE was carried out for a geometry-optimized PmGdHoTh structure.

abc: 8.067 8.067 8.067
angles: 90.00 90.00 90.00
Space group F-43m (No. 216)
Asymmetric unit:
Pm1 0.000 0.000 0.000
Gd1 0.000 0.000 0.500
Ho1 0.250 0.250 0.250
Th1 0.250 0.250 0.750

Output
The calculation puts the formation enthalpy at 0 K at 0.18 eV per atom.

---

(5)
A plane-wave DFT calculation with PBE was carried out for a geometry-optimized ErTaO4 structure.

abc: 6.999 11.002 5.080
angles: 90.00 130.85 90.00
Space group C2/c (No. 15)
Asymmetric unit:
Er1 0.000 0.131 0.250
Ta1 0.000 0.398 0.750
O1 0.159 0.290 0.659
O2 0.246 0.469 0.216

Output
For the energy relative to the elements, uncorrected, the calculation gives -3.276 eV per atom.

---

(6)
A plane-wave DFT calculation with PBE was carried out for a geometry-optimized ReIrBr2 structure.

abc: 2.987 4.458 14.323
angles: 90.00 90.00 90.00
Space group Immm (No. 71)
Asymmetric unit:
Re1 0.000 0.000 0.000
Ir1 0.000 0.000 0.500
Br1 0.000 0.500 0.351

Output
The excess energy over the best structure of this formula in the dataset is 48.5 kJ/mol of atoms. For the energy relative to the elements, uncorrected, the calculation gives 0.753 eV per atom.

---

(7)
A plane-wave DFT calculation with PBE was carried out for a geometry-optimized TmMg4Cd5 structure.

abc: 3.612 3.612 17.054
angles: 90.00 90.00 90.00
Space group P4/mmm (No. 123)
Asymmetric unit:
Tm1 0.000 0.000 0.000
Mg1 0.000 0.000 0.210
Mg2 0.000 0.000 0.403
Cd1 0.500 0.500 0.114
Cd2 0.500 0.500 0.307
Cd3 0.500 0.500 0.500

Output
The calculation puts the formation enthalpy at 0 K at -0.15 eV per atom.

---

(8)
A plane-wave DFT calculation with PBE was carried out for a geometry-optimized Ni2BiHRh structure.

abc: 4.029 4.029 3.825
angles: 90.00 90.00 90.00
Space group P4/mmm (No. 123)
Asymmetric unit:
Ni1 0.000 0.500 0.000
Bi1 0.000 0.000 0.500
H1 0.500 0.500 0.000
Rh1 0.500 0.500 0.500

Output
Its total energy is -5.20 eV/atom.

---

no.,size of the total moment (μB/f.u.),DOS(E_F) (states/eV/f.u.)
1,0.000,3.24
2,0.000,5.65
3,0.000,5.62
4,8.876,9.11
5,0.000,0.00
6,0.354,4.10
7,0.001,3.56
8,0.000,2.48